Material: Ho5ErTl3
Method: DFT, PBE
State: relaxed

The formation energy is -0.253 eV/atom. Its spin magnetization is 0.07 μB/atom. The density of states at the Fermi level comes out at 21.25 states/eV/cell.

The structure belongs to space group P6_3/mcm (No. 193); the cell edges are 9.3237, 9.3237 and 6.6926 Å and the angles 90.00°, 90.00° and 120.00°. The distinct sites, in fractional coordinates, are Ho at (0.0000, 0.3334, 0.2500), Ho at (0.3333, 0.6667, 0.0000), Er at (0.0000, 0.0000, 0.0000) and Tl at (0.0000, 0.3329, 0.7500).